# 1
Sr3CeNp2N6 | GGA-PBE | relaxed

For the volume, the calculation gives 16.66 Å³ per atom. The value obtained for the calculated total energy is -99.8 eV per cell. The energy relative to the elements, uncorrected is -1251 kJ/mol of formula units. As for the mass density: 7.983 g cm⁻³.

Structure (POSCAR):
```
Sr3CeNp2N6
1.0
7.871 -1.799 0.000
7.871 1.799 0.000
-1.820 0.000 7.060
Sr Ce Np N
3 1 2 6
direct
0.000 0.000 0.000
0.333 0.333 0.667
0.667 0.667 0.333
0.000 0.000 0.500
0.332 0.332 0.167
0.668 0.668 0.833
0.161 0.161 0.621
0.181 0.181 0.054
0.480 0.480 0.261
0.520 0.520 0.739
0.819 0.819 0.946
0.839 0.839 0.379
```

=====

# 2
Sr3Ce3NpN8 | GGA-PBE | relaxed

For the volume, the calculation gives 17.88 Å³ per atom. The value obtained for the calculated total energy is -120.0 eV per cell. The energy relative to the elements, uncorrected is -1702 kJ/mol of formula units. As for the mass density: 6.391 g cm⁻³.

Structure (POSCAR):
```
Sr3Ce3NpN8
1.0
3.592 2.074 6.002
-3.592 2.074 6.002
0.000 -4.147 6.002
Sr Ce Np N
3 3 1 8
direct
0.000 0.500 0.500
0.500 0.000 0.500
0.500 0.500 0.000
0.000 0.000 0.500
0.000 0.500 0.000
0.500 0.000 0.000
0.500 0.500 0.500
0.236 0.236 0.236
0.261 0.711 0.711
0.289 0.289 0.739
0.289 0.739 0.289
0.711 0.261 0.711
0.711 0.711 0.261
0.739 0.289 0.289
0.764 0.764 0.764
```

=====

# 3
Sr4CeNp3N8 | GGA-PBE | relaxed

For the volume, the calculation gives 16.57 Å³ per atom. The value obtained for the calculated total energy is -135.1 eV per cell. The energy relative to the elements, uncorrected is -1642 kJ/mol of formula units. As for the mass density: 8.226 g cm⁻³.

Structure (POSCAR):
```
Sr4CeNp3N8
1.0
3.582 2.068 5.967
-3.582 2.068 5.967
0.000 -4.136 5.967
Sr Ce Np N
4 1 3 8
direct
0.000 0.000 0.000
0.000 0.500 0.500
0.500 0.000 0.500
0.500 0.500 0.000
0.500 0.500 0.500
0.000 0.000 0.500
0.000 0.500 0.000
0.500 0.000 0.000
0.217 0.739 0.739
0.232 0.232 0.232
0.261 0.261 0.783
0.261 0.783 0.261
0.739 0.217 0.739
0.739 0.739 0.217
0.768 0.768 0.768
0.783 0.261 0.261
```

=====

# 4
SrCe2NpN4 | GGA-PBE | relaxed

For the volume, the calculation gives 16.32 Å³ per atom. The value obtained for the calculated total energy is -138.2 eV per cell. The energy relative to the elements, uncorrected is -896 kJ/mol of formula units. As for the mass density: 8.407 g cm⁻³.

Structure (POSCAR):
```
SrCe2NpN4
1.0
5.075 0.000 0.000
0.000 5.075 0.000
0.000 0.000 10.139
Sr Ce Np N
2 4 2 8
direct
0.000 0.000 0.000
0.500 0.500 0.500
0.000 0.000 0.500
0.000 0.500 0.250
0.500 0.000 0.750
0.500 0.500 0.000
0.000 0.500 0.750
0.500 0.000 0.250
0.000 0.000 0.264
0.000 0.000 0.736
0.000 0.500 0.530
0.000 0.500 0.970
0.500 0.000 0.030
0.500 0.000 0.470
0.500 0.500 0.236
0.500 0.500 0.764
```

=====

# 5
Ce2NpTaN5 | GGA-PBE | relaxed

For the volume, the calculation gives 14.30 Å³ per atom. The value obtained for the calculated total energy is -179.6 eV per cell. The energy relative to the elements, uncorrected is -1109 kJ/mol of formula units. As for the mass density: 9.909 g cm⁻³.

Structure (POSCAR):
```
Ce2NpTaN5
1.0
1.756 -6.953 0.000
1.756 6.953 0.000
0.000 0.000 10.542
Ce Np Ta N
4 2 2 10
direct
0.105 0.895 0.500
0.145 0.855 0.099
0.855 0.145 0.599
0.895 0.105 0.000
0.215 0.785 0.818
0.785 0.215 0.318
0.480 0.520 0.272
0.520 0.480 0.772
0.051 0.949 0.860
0.275 0.725 0.461
0.324 0.676 0.191
0.379 0.621 0.821
0.486 0.514 0.591
0.514 0.486 0.091
0.621 0.379 0.321
0.676 0.324 0.691
0.725 0.275 0.961
0.949 0.051 0.360
```

=====

# 6
Ce2NpTaN4 | GGA-PBE | relaxed

For the volume, the calculation gives 13.87 Å³ per atom. The value obtained for the calculated total energy is -80.8 eV per cell. The energy relative to the elements, uncorrected is -1046 kJ/mol of formula units. As for the mass density: 11.285 g cm⁻³.

Structure (POSCAR):
```
Ce2NpTaN4
1.0
5.825 0.000 0.000
0.000 3.356 0.000
-1.877 0.000 5.677
Ce Np Ta N
2 1 1 4
direct
0.000 0.000 0.000
0.500 0.500 0.000
0.000 0.500 0.500
0.500 0.000 0.500
0.256 0.000 0.716
0.277 0.500 0.290
0.723 0.500 0.710
0.744 0.000 0.284
```

=====

# 7
CeNpTaN3 | GGA-PBE | relaxed

For the volume, the calculation gives 16.03 Å³ per atom. The value obtained for the calculated total energy is -122.9 eV per cell. The energy relative to the elements, uncorrected is -552 kJ/mol of formula units. As for the mass density: 10.359 g cm⁻³.

Structure (POSCAR):
```
CeNpTaN3
1.0
7.273 0.000 0.000
0.000 3.287 0.000
-0.064 0.000 8.047
Ce Np Ta N
2 2 2 6
direct
0.132 0.250 0.165
0.868 0.750 0.835
0.384 0.750 0.840
0.616 0.250 0.160
0.138 0.250 0.574
0.862 0.750 0.426
0.145 0.250 0.845
0.155 0.750 0.411
0.390 0.750 0.106
0.610 0.250 0.894
0.845 0.250 0.589
0.855 0.750 0.155
```

=====

# 8
Ce2NpTaN6 | GGA-PBE | relaxed

For the volume, the calculation gives 13.60 Å³ per atom. The value obtained for the calculated total energy is -198.7 eV per cell. The energy relative to the elements, uncorrected is -1227 kJ/mol of formula units. As for the mass density: 9.549 g cm⁻³.

Structure (POSCAR):
```
Ce2NpTaN6
1.0
5.736 0.000 0.000
0.000 5.816 0.000
-5.731 0.000 8.156
Ce Np Ta N
4 2 2 12
direct
0.242 0.047 0.251
0.242 0.453 0.751
0.758 0.547 0.249
0.758 0.953 0.749
0.500 0.000 0.000
0.500 0.500 0.500
0.000 0.000 0.500
0.000 0.500 0.000
0.144 0.201 0.945
0.144 0.299 0.445
0.236 0.698 0.943
0.236 0.802 0.443
0.353 0.032 0.746
0.353 0.468 0.246
0.647 0.532 0.754
0.647 0.968 0.254
0.764 0.198 0.557
0.764 0.302 0.057
0.856 0.701 0.555
0.856 0.799 0.055
```

=====

# 9
Ce2Np3TaN6 | GGA-PBE | relaxed

For the volume, the calculation gives 14.12 Å³ per atom. The value obtained for the calculated total energy is -127.5 eV per cell. The energy relative to the elements, uncorrected is -1446 kJ/mol of formula units. As for the mass density: 12.310 g cm⁻³.

Structure (POSCAR):
```
Ce2Np3TaN6
1.0
2.983 -5.155 0.000
2.983 5.155 0.000
-1.972 0.000 5.509
Ce Np Ta N
2 3 1 6
direct
0.166 0.834 0.000
0.834 0.166 0.000
0.000 0.000 0.500
0.332 0.668 0.500
0.668 0.332 0.500
0.500 0.500 0.000
0.116 0.418 0.753
0.281 0.281 0.254
0.418 0.116 0.753
0.582 0.884 0.247
0.719 0.719 0.746
0.884 0.582 0.247
```

=====

# 10
TbCeNp2N4 | GGA-PBE | relaxed

For the volume, the calculation gives 15.05 Å³ per atom. The value obtained for the calculated total energy is -80.4 eV per cell. The energy relative to the elements, uncorrected is -1031 kJ/mol of formula units. As for the mass density: 11.435 g cm⁻³.

Structure (POSCAR):
```
TbCeNp2N4
1.0
6.035 0.000 0.000
0.000 3.489 0.000
-2.022 0.000 5.718
Tb Ce Np N
1 1 2 4
direct
0.000 0.000 0.000
0.000 0.500 0.500
0.500 0.000 0.500
0.500 0.500 0.000
0.268 0.500 0.250
0.269 0.000 0.763
0.731 0.000 0.237
0.732 0.500 0.750
```

=====

# 11
Tb2CeNpN4 | GGA-PBE | relaxed

For the volume, the calculation gives 15.18 Å³ per atom. The value obtained for the calculated total energy is -73.2 eV per cell. The energy relative to the elements, uncorrected is -1136 kJ/mol of formula units. As for the mass density: 10.267 g cm⁻³.

Structure (POSCAR):
```
Tb2CeNpN4
1.0
6.060 0.000 0.000
0.000 3.498 0.000
-2.016 0.000 5.730
Tb Ce Np N
2 1 1 4
direct
0.000 0.000 0.000
0.500 0.500 0.000
0.000 0.500 0.500
0.500 0.000 0.500
0.258 0.000 0.744
0.262 0.500 0.259
0.738 0.500 0.741
0.742 0.000 0.256
```

=====

# 12
Ce2NpTcN4 | GGA-PBE | relaxed

For the volume, the calculation gives 14.44 Å³ per atom. The value obtained for the calculated total energy is -152.6 eV per cell. The energy relative to the elements, uncorrected is -756 kJ/mol of formula units. As for the mass density: 9.650 g cm⁻³.

Structure (POSCAR):
```
Ce2NpTcN4
1.0
1.665 -5.873 0.000
1.665 5.873 0.000
0.000 0.000 11.812
Ce Np Tc N
4 2 2 8
direct
0.133 0.867 0.551
0.133 0.867 0.949
0.867 0.133 0.051
0.867 0.133 0.449
0.387 0.613 0.750
0.613 0.387 0.250
0.353 0.647 0.250
0.647 0.353 0.750
0.033 0.967 0.750
0.220 0.780 0.135
0.220 0.780 0.365
0.500 0.500 0.000
0.500 0.500 0.500
0.780 0.220 0.635
0.780 0.220 0.865
0.967 0.033 0.250
```

=====

# 13
Ce2NpTe2N2 | GGA-PBE | relaxed

For the volume, the calculation gives 23.36 Å³ per atom. The value obtained for the calculated total energy is -114.8 eV per cell. The energy relative to the elements, uncorrected is -931 kJ/mol of formula units. As for the mass density: 8.128 g cm⁻³.

Structure (POSCAR):
```
Ce2NpTe2N2
1.0
12.334 0.000 0.000
0.000 4.046 0.000
-4.187 0.000 6.554
Ce Np Te N
4 2 4 4
direct
0.193 0.000 0.266
0.307 0.500 0.734
0.693 0.500 0.266
0.807 0.000 0.734
0.000 0.000 0.500
0.500 0.500 0.500
0.073 0.500 0.847
0.427 0.000 0.153
0.573 0.000 0.847
0.927 0.500 0.153
0.191 0.000 0.571
0.309 0.500 0.429
0.691 0.500 0.571
0.809 0.000 0.429
```

=====

# 14
CeThNpN3 | GGA-PBE | relaxed

For the volume, the calculation gives 19.20 Å³ per atom. The value obtained for the calculated total energy is -115.1 eV per cell. The energy relative to the elements, uncorrected is -607 kJ/mol of formula units. As for the mass density: 9.388 g cm⁻³.

Structure (POSCAR):
```
CeThNpN3
1.0
7.222 0.000 0.000
0.000 3.638 0.000
-0.522 0.000 8.769
Ce Th Np N
2 2 2 6
direct
0.141 0.250 0.129
0.859 0.750 0.871
0.375 0.750 0.838
0.625 0.250 0.162
0.050 0.250 0.591
0.950 0.750 0.409
0.122 0.250 0.851
0.218 0.750 0.589
0.380 0.750 0.113
0.620 0.250 0.887
0.782 0.250 0.411
0.878 0.750 0.149
```

=====

# 15
Ce2ThNpN6 | GGA-PBE | relaxed

For the volume, the calculation gives 15.33 Å³ per atom. The value obtained for the calculated total energy is -190.3 eV per cell. The energy relative to the elements, uncorrected is -1253 kJ/mol of formula units. As for the mass density: 9.025 g cm⁻³.

Structure (POSCAR):
```
Ce2ThNpN6
1.0
5.862 0.000 0.000
0.000 6.021 0.000
-5.725 0.000 8.688
Ce Th Np N
4 2 2 12
direct
0.240 0.043 0.252
0.240 0.457 0.752
0.760 0.543 0.248
0.760 0.957 0.748
0.500 0.000 0.000
0.500 0.500 0.500
0.000 0.000 0.500
0.000 0.500 0.000
0.096 0.210 0.915
0.096 0.290 0.415
0.220 0.676 0.933
0.220 0.824 0.433
0.376 0.075 0.734
0.376 0.425 0.234
0.624 0.575 0.766
0.624 0.925 0.266
0.780 0.176 0.567
0.780 0.324 0.067
0.904 0.710 0.585
0.904 0.790 0.085
```

=====

# 16
Ce3Th2NpN6 | GGA-PBE | relaxed

For the volume, the calculation gives 16.32 Å³ per atom. The value obtained for the calculated total energy is -112.9 eV per cell. The energy relative to the elements, uncorrected is -1678 kJ/mol of formula units. As for the mass density: 10.220 g cm⁻³.

Structure (POSCAR):
```
Ce3Th2NpN6
1.0
3.110 -5.386 0.000
3.110 5.386 0.000
-2.075 0.000 5.847
Ce Th Np N
3 2 1 6
direct
0.000 0.000 0.000
0.334 0.666 0.000
0.666 0.334 0.000
0.167 0.833 0.500
0.833 0.167 0.500
0.500 0.500 0.500
0.100 0.420 0.258
0.261 0.261 0.745
0.420 0.100 0.258
0.580 0.900 0.742
0.739 0.739 0.255
0.900 0.580 0.742
```

=====

# 17
Ce2ThNpN4 | GGA-PBE | relaxed

For the volume, the calculation gives 16.06 Å³ per atom. The value obtained for the calculated total energy is -76.8 eV per cell. The energy relative to the elements, uncorrected is -1087 kJ/mol of formula units. As for the mass density: 10.406 g cm⁻³.

Structure (POSCAR):
```
Ce2ThNpN4
1.0
6.173 0.000 0.000
0.000 3.565 0.000
-2.063 0.000 5.839
Ce Th Np N
2 1 1 4
direct
0.000 0.000 0.000
0.000 0.500 0.500
0.500 0.000 0.500
0.500 0.500 0.000
0.257 0.500 0.238
0.266 0.000 0.768
0.734 0.000 0.232
0.743 0.500 0.762
```

=====

# 18
Ce2Th3NpN6 | GGA-PBE | relaxed

For the volume, the calculation gives 16.47 Å³ per atom. The value obtained for the calculated total energy is -114.5 eV per cell. The energy relative to the elements, uncorrected is -1688 kJ/mol of formula units. As for the mass density: 10.903 g cm⁻³.

Structure (POSCAR):
```
Ce2Th3NpN6
1.0
3.120 -5.399 0.000
3.120 5.399 0.000
-2.087 0.000 5.865
Ce Th Np N
2 3 1 6
direct
0.166 0.834 0.000
0.834 0.166 0.000
0.000 0.000 0.500
0.332 0.668 0.500
0.668 0.332 0.500
0.500 0.500 0.000
0.100 0.421 0.762
0.259 0.259 0.245
0.421 0.100 0.762
0.579 0.900 0.238
0.741 0.741 0.755
0.900 0.579 0.238
```

=====

# 19
CeTh2NpN4 | GGA-PBE | relaxed

For the volume, the calculation gives 16.32 Å³ per atom. The value obtained for the calculated total energy is -78.3 eV per cell. The energy relative to the elements, uncorrected is -1093 kJ/mol of formula units. As for the mass density: 11.412 g cm⁻³.

Structure (POSCAR):
```
CeTh2NpN4
1.0
6.212 0.000 0.000
0.000 3.583 0.000
-2.080 0.000 5.865
Ce Th Np N
1 2 1 4
direct
0.000 0.000 0.000
0.500 0.000 0.500
0.500 0.500 0.000
0.000 0.500 0.500
0.232 0.000 0.734
0.240 0.500 0.255
0.760 0.500 0.745
0.768 0.000 0.266
```

=====

# 20
Ce3Np3TiN8 | GGA-PBE | relaxed

For the volume, the calculation gives 15.05 Å³ per atom. The value obtained for the calculated total energy is -149.7 eV per cell. The energy relative to the elements, uncorrected is -1797 kJ/mol of formula units. As for the mass density: 9.501 g cm⁻³.

Structure (POSCAR):
```
Ce3Np3TiN8
1.0
3.375 1.948 5.721
-3.375 1.948 5.721
0.000 -3.897 5.721
Ce Np Ti N
3 3 1 8
direct
0.000 0.500 0.500
0.500 0.000 0.500
0.500 0.500 0.000
0.000 0.000 0.500
0.000 0.500 0.000
0.500 0.000 0.000
0.500 0.500 0.500
0.244 0.244 0.244
0.259 0.723 0.723
0.277 0.277 0.741
0.277 0.741 0.277
0.723 0.259 0.723
0.723 0.723 0.259
0.741 0.277 0.277
0.756 0.756 0.756
```